No. 1
Density functional theory data (GGA-PBE) for Hg2MoIr after structural relaxation.

Computed properties:
* crystal system: monoclinic
* ΔE to the lowest computed polymorph: 0.000 eV per atom
* DOS(E_F): 0.751 states/eV/atom

Cell: 2.9353 2.9337 8.6436 Å, 90.00 92.39 90.00°
Closest atoms and distances in Å follow each position.
Space group Pm (No. 6)
Symmetry-distinct sites (fractional):
Hg (0.0000, 0.0000, 0.0000) (multiplicity 1)  6 Hg 2.93-3.20, 4 Ir 3.02-3.03
Hg (0.4062, 0.5000, 0.3040) (multiplicity 1)  6 Hg 2.93-3.20, 4 Mo 3.01-3.03
Mo (0.9416, 0.0000, 0.5579) (multiplicity 1)  4 Ir 2.63, 4 Mo 2.93-2.94
Ir (0.4652, 0.5000, 0.7445) (multiplicity 1)  4 Mo 2.63, 4 Ir 2.93-2.94

No. 2
Density functional theory data (GGA-PBE) for Rb3ZrBi3Se8 after structural relaxation.

Computed properties:
* crystal system: trigonal
* raw formation energy: -906 meV per atom

Cell: 8.4583 8.4583 24.6679 Å, 90.00 90.00 120.00°
Closest atoms and distances in Å follow each position.
Space group R-3m (No. 166, hexagonal axes)
Symmetry-distinct sites (fractional):
Rb (0.0000, 0.5000, 0.0000) (multiplicity 9)  6 Se 3.45-3.48
Zr (0.0000, 0.0000, 0.5000) (multiplicity 3)  6 Se 2.76
Bi (0.0000, 0.5000, 0.5000) (multiplicity 9)  6 Se 2.96-2.97
Se (0.0000, 0.0000, 0.2348) (multiplicity 6)  3 Bi 2.96
Se (0.0225, 0.5113, 0.2297) (multiplicity 18)  1 Zr 2.76, 2 Bi 2.97

no.,size of the total moment (Bohr magnetons per cell)
1,0.00
2,0.00